one:
The following is a DFT calculation (PBE) of In2PbCl after structural relaxation.

Its total moment is 0.00 μB per atom. Its crystal system is trigonal.

Cell: 10.6876 10.6876 10.6876 Å, 18.76 18.76 18.76°
Fractional positions:
In 0.0000 0.0000 0.0000
In 0.2463 0.2463 0.2463
Pb 0.4860 0.4860 0.4860
Cl 0.7347 0.7347 0.7347



two:
The following is a DFT calculation (PBE) of In2PbCl after structural relaxation.

Its total moment is 0.00 μB per atom. Its crystal system is tetragonal.

Cell: 8.9501 8.9501 8.9501 Å, 137.78 137.78 61.24°
Fractional positions:
In 0.1214 0.6250 0.9964
In 0.3750 0.3714 0.4964
In 0.6286 0.1250 0.0036
In 0.8750 0.8786 0.5036
Pb 0.2500 0.7500 0.5000
Pb 0.5000 0.5000 0.0000
Cl 0.0000 0.0000 0.0000
Cl 0.7500 0.2500 0.5000



three:
The following is a DFT calculation (PBE) of In2PbCl after structural relaxation.

Its total moment is 0.00 μB per atom. Its crystal system is orthorhombic.

Cell: 3.4577 5.3750 6.1504 Å, 90.00 90.00 90.00°
Fractional positions:
In 0.0000 0.0000 0.2460
In 0.0000 0.0000 0.7540
Pb 0.5000 0.5000 0.5000
Cl 0.5000 0.5000 0.0000



Top of the stability list: one, leading by 0.028 eV/atom.



one:
The following is a DFT calculation (PBE) of In2PbCl after structural relaxation.

Its total moment is 0.00 μB per atom. Its crystal system is tetragonal.

Cell: 3.4924 3.4924 9.1512 Å, 90.00 90.00 90.00°
Fractional positions:
In 0.0000 0.0000 0.0000
In 0.5000 0.5000 0.2606
Pb 0.0000 0.0000 0.5152
Cl 0.5000 0.5000 0.7952



two:
The following is a DFT calculation (PBE) of In2PbCl after structural relaxation.

Its total moment is 0.00 μB per atom. Its crystal system is monoclinic.

Cell: 6.2494 6.2494 5.5599 Å, 90.44 90.44 32.64°
Fractional positions:
In 0.0000 0.0000 0.0000
In 0.7271 0.7271 0.5346
Pb 0.2675 0.2675 0.0373
Cl 0.4968 0.4968 0.5351



Top of the stability list: two, leading by 0.053 eV/atom.



one:
The following is a DFT calculation (PBE) of In5Pb3Cl12 after structural relaxation.

Its total moment is 0.00 μB per atom. Its crystal system is hexagonal.

Cell: 12.8529 12.8529 4.3653 Å, 90.00 90.00 120.00°
Fractional positions:
In 0.0000 0.7012 0.0000
In 0.2988 0.2988 0.0000
In 0.3333 0.6667 0.0000
In 0.6667 0.3333 0.0000
In 0.7012 0.0000 0.0000
Pb 0.0000 0.3232 0.5000
Pb 0.3232 0.0000 0.5000
Pb 0.6768 0.6768 0.5000
Cl 0.0000 0.1745 0.0000
Cl 0.0000 0.4736 0.0000
Cl 0.1745 0.0000 0.0000
Cl 0.1911 0.7371 0.5000
Cl 0.2629 0.4541 0.5000
Cl 0.4541 0.2629 0.5000
Cl 0.4736 0.0000 0.0000
Cl 0.5264 0.5264 0.0000
Cl 0.5459 0.8088 0.5000
Cl 0.7371 0.1911 0.5000
Cl 0.8088 0.5459 0.5000
Cl 0.8255 0.8255 0.0000



two:
The following is a DFT calculation (PBE) of In5Pb3Cl12 after structural relaxation.

Its total moment is 0.00 μB per atom. Its crystal system is cubic.

Cell: 15.1635 15.1635 15.1635 Å, 109.47 109.47 109.47°
Fractional positions:
In 0.0000 0.0000 0.0000
In 0.0000 0.0000 0.5000
In 0.0000 0.5000 0.0000
In 0.0000 0.5000 0.5000
In 0.1250 0.7500 0.8750
In 0.1250 0.8750 0.2500
In 0.2500 0.1250 0.8750
In 0.2500 0.6250 0.3750
In 0.3750 0.2500 0.6250
In 0.3750 0.6250 0.7500
In 0.5000 0.0000 0.0000
In 0.5000 0.0000 0.5000
In 0.5000 0.5000 0.0000
In 0.5000 0.5000 0.5000
In 0.6250 0.3750 0.2500
In 0.6250 0.7500 0.3750
In 0.7500 0.3750 0.6250
In 0.7500 0.8750 0.1250
In 0.8750 0.1250 0.7500
In 0.8750 0.2500 0.1250
Pb 0.1250 0.2500 0.3750
Pb 0.1250 0.3750 0.7500
Pb 0.2500 0.3750 0.1250
Pb 0.2500 0.8750 0.6250
Pb 0.3750 0.1250 0.2500
Pb 0.3750 0.7500 0.1250
Pb 0.6250 0.2500 0.8750
Pb 0.6250 0.8750 0.7500
Pb 0.7500 0.1250 0.3750
Pb 0.7500 0.6250 0.8750
Pb 0.8750 0.6250 0.2500
Pb 0.8750 0.7500 0.6250
Cl 0.0619 0.2297 0.1300
Cl 0.0619 0.3322 0.9319
Cl 0.0681 0.6300 0.4003
Cl 0.0681 0.9381 0.6678
Cl 0.0997 0.7297 0.6678
Cl 0.0997 0.8700 0.4319
Cl 0.1300 0.0619 0.2297
Cl 0.1300 0.5681 0.9003
Cl 0.1678 0.2297 0.5997
Cl 0.1678 0.4381 0.5681
Cl 0.2297 0.1300 0.0619
Cl 0.2297 0.5997 0.1678
Cl 0.2703 0.3322 0.9003
Cl 0.2703 0.4381 0.3700
Cl 0.3322 0.9003 0.2703
Cl 0.3322 0.9319 0.0619
Cl 0.3700 0.2703 0.4381
Cl 0.3700 0.5997 0.9319
Cl 0.4003 0.0681 0.6300
Cl 0.4003 0.8322 0.7703
Cl 0.4319 0.0997 0.8700
Cl 0.4319 0.8322 0.5619
Cl 0.4381 0.3700 0.2703
Cl 0.4381 0.5681 0.1678
Cl 0.5619 0.4319 0.8322
Cl 0.5619 0.6300 0.7297
Cl 0.5681 0.1678 0.4381
Cl 0.5681 0.9003 0.1300
Cl 0.5997 0.1678 0.2297
Cl 0.5997 0.9319 0.3700
Cl 0.6300 0.4003 0.0681
Cl 0.6300 0.7297 0.5619
Cl 0.6678 0.0681 0.9381
Cl 0.6678 0.0997 0.7297
Cl 0.7297 0.5619 0.6300
Cl 0.7297 0.6678 0.0997
Cl 0.7703 0.4003 0.8322
Cl 0.7703 0.8700 0.9381
Cl 0.8322 0.5619 0.4319
Cl 0.8322 0.7703 0.4003
Cl 0.8700 0.4319 0.0997
Cl 0.8700 0.9381 0.7703
Cl 0.9003 0.1300 0.5681
Cl 0.9003 0.2703 0.3322
Cl 0.9319 0.0619 0.3322
Cl 0.9319 0.3700 0.5997
Cl 0.9381 0.6678 0.0681
Cl 0.9381 0.7703 0.8700



Top of the stability list: one, leading by 0.111 eV/atom.



one:
The following is a DFT calculation (PBE) of In2PbCl6 after structural relaxation.

Its total moment is 0.00 μB per atom. Its crystal system is monoclinic.

Cell: 9.3251 9.3251 9.2670 Å, 109.72 109.72 85.68°
Fractional positions:
In 0.0836 0.2560 0.2465
In 0.2560 0.0836 0.7465
In 0.7440 0.9164 0.2535
In 0.9164 0.7440 0.7535
Pb 0.4320 0.5680 0.7500
Pb 0.5680 0.4320 0.2500
Cl 0.1301 0.1379 0.9691
Cl 0.1379 0.1301 0.4691
Cl 0.1410 0.5600 0.7626
Cl 0.2946 0.4758 0.3895
Cl 0.4400 0.8590 0.7374
Cl 0.4758 0.2946 0.8895
Cl 0.5242 0.7054 0.1105
Cl 0.5600 0.1410 0.2626
Cl 0.7054 0.5242 0.6105
Cl 0.8590 0.4400 0.2374
Cl 0.8621 0.8699 0.5309
Cl 0.8699 0.8621 0.0309



two:
The following is a DFT calculation (PBE) of In2PbCl6 after structural relaxation.

Its total moment is 0.00 μB per atom. Its crystal system is monoclinic.

Cell: 9.6228 9.6228 7.5057 Å, 99.16 99.16 89.11°
Fractional positions:
In 0.0995 0.3238 0.1285
In 0.3238 0.0995 0.6285
In 0.6762 0.9005 0.3715
In 0.9005 0.6762 0.8715
Pb 0.4106 0.5894 0.7500
Pb 0.5894 0.4106 0.2500
Cl 0.1189 0.1748 0.3959
Cl 0.1408 0.5264 0.8872
Cl 0.1748 0.1189 0.8959
Cl 0.3199 0.4756 0.3626
Cl 0.4736 0.8592 0.6128
Cl 0.4756 0.3199 0.8626
Cl 0.5244 0.6802 0.1374
Cl 0.5264 0.1408 0.3872
Cl 0.6802 0.5244 0.6374
Cl 0.8252 0.8811 0.1041
Cl 0.8592 0.4736 0.1128
Cl 0.8811 0.8252 0.6041



Top of the stability list: one, leading by 0.040 eV/atom.



one:
The following is a DFT calculation (PBE) of InPbS2Cl after structural relaxation.

Its total moment is 0.00 μB per atom. Its crystal system is tetragonal.

Cell: 5.6920 5.6920 5.7989 Å, 90.00 90.00 90.00°
Fractional positions:
In 0.0000 0.0000 0.0000
Pb 0.5000 0.5000 0.5000
S 0.0000 0.5000 0.5000
S 0.5000 0.0000 0.5000
Cl 0.5000 0.5000 0.0000



two:
The following is a DFT calculation (PBE) of InPbS2Cl after structural relaxation.

Its total moment is 0.00 μB per atom. Its crystal system is monoclinic.

Cell: 7.0633 5.6322 8.0924 Å, 90.00 94.42 90.00°
Fractional positions:
In 0.0861 0.2500 0.1512
In 0.9139 0.7500 0.8488
Pb 0.2194 0.2500 0.6234
Pb 0.7806 0.7500 0.3766
S 0.0516 0.7500 0.1377
S 0.0969 0.7500 0.6011
S 0.9031 0.2500 0.3989
S 0.9484 0.2500 0.8623
Cl 0.4211 0.2500 0.2492
Cl 0.5789 0.7500 0.7508



three:
The following is a DFT calculation (PBE) of InPbS2Cl after structural relaxation.

Its total moment is 0.00 μB per atom. Its crystal system is tetragonal.

Cell: 5.4579 5.4579 5.2425 Å, 90.00 90.00 90.00°
Fractional positions:
In 0.0000 0.0000 0.0000
Pb 0.5000 0.5000 0.5000
S 0.0000 0.5000 0.0000
S 0.5000 0.0000 0.0000
Cl 0.0000 0.0000 0.5000



Top of the stability list: two, leading by 0.462 eV/atom.



one:
The following is a DFT calculation (PBE) of InPbSeCl after structural relaxation.

Its total moment is 0.00 μB per atom. Its crystal system is trigonal.

Cell: 12.0771 12.0771 12.0771 Å, 25.04 25.04 25.04°
Fractional positions:
In 0.1161 0.1161 0.1161
In 0.8839 0.8839 0.8839
Pb 0.2941 0.2941 0.2941
Pb 0.7059 0.7059 0.7059
Se 0.3775 0.3775 0.3775
Se 0.6225 0.6225 0.6225
Cl 0.1991 0.1991 0.1991
Cl 0.8009 0.8009 0.8009



two:
The following is a DFT calculation (PBE) of InPbSeCl after structural relaxation.

Its total moment is 0.00 μB per atom. Its crystal system is cubic.

Cell: 5.3310 5.3310 5.3310 Å, 60.00 60.00 60.00°
Fractional positions:
In 0.0000 0.0000 0.0000
Pb 0.5000 0.5000 0.5000
Se 0.2500 0.2500 0.2500
Cl 0.7500 0.7500 0.7500



Top of the stability list: one, leading by 0.091 eV/atom.



one:
The following is a DFT calculation (PBE) of In2PdCl after structural relaxation.

Its total moment is 0.00 μB per atom. Its crystal system is cubic.

Cell: 5.0758 5.0758 5.0758 Å, 60.00 60.00 60.00°
Fractional positions:
In 0.2500 0.2500 0.2500
In 0.7500 0.7500 0.7500
Pd 0.0000 0.0000 0.0000
Cl 0.5000 0.5000 0.5000



two:
The following is a DFT calculation (PBE) of In2PdCl after structural relaxation.

Its total moment is 0.00 μB per atom. Its crystal system is tetragonal.

Cell: 7.8569 7.8569 7.8569 Å, 131.51 131.51 71.01°
Fractional positions:
In 0.0758 0.6250 0.9508
In 0.3750 0.3258 0.4508
In 0.6742 0.1250 0.0492
In 0.8750 0.9242 0.5492
Pd 0.0000 0.0000 0.0000
Pd 0.7500 0.2500 0.5000
Cl 0.2500 0.7500 0.5000
Cl 0.5000 0.5000 0.0000



Top of the stability list: two, leading by 0.131 eV/atom.



one:
The following is a DFT calculation (PBE) of InPd3Cl after structural relaxation.

Its total moment is 0.00 μB per atom. Its crystal system is cubic.

Cell: 5.0316 5.0316 5.0316 Å, 90.00 90.00 90.00°
Fractional positions:
In 0.0000 0.0000 0.0000
Pd 0.0000 0.0000 0.5000
Pd 0.0000 0.5000 0.0000
Pd 0.5000 0.0000 0.0000
Cl 0.5000 0.5000 0.5000



two:
The following is a DFT calculation (PBE) of InPd3Cl after structural relaxation.

Its total moment is 0.00 μB per atom. Its crystal system is cubic.

Cell: 4.6621 4.6621 4.6621 Å, 90.00 90.00 90.00°
Fractional positions:
In 0.0000 0.0000 0.0000
Pd 0.0000 0.5000 0.5000
Pd 0.5000 0.0000 0.5000
Pd 0.5000 0.5000 0.0000
Cl 0.5000 0.5000 0.5000



Top of the stability list: two, leading by 0.357 eV/atom.



one:
The following is a DFT calculation (PBE) of InPdCl6 after structural relaxation.

Its total moment is 0.13 μB per atom. Its crystal system is monoclinic.

Cell: 6.6764 6.6764 6.2957 Å, 98.60 98.60 123.80°
Fractional positions:
In 0.0000 0.0000 0.0000
Pd 0.5000 0.5000 0.5000
Cl 0.1321 0.4142 0.2721
Cl 0.2438 0.2438 0.7551
Cl 0.4142 0.1321 0.2721
Cl 0.5858 0.8679 0.7279
Cl 0.7562 0.7562 0.2449
Cl 0.8679 0.5858 0.7279



two:
The following is a DFT calculation (PBE) of InPdCl6 after structural relaxation.

Its total moment is 0.13 μB per atom. Its crystal system is triclinic.

Cell: 6.2126 6.2216 6.6503 Å, 62.39 64.89 62.64°
Fractional positions:
In 0.0000 0.0000 0.0000
Pd 0.5000 0.5000 0.5000
Cl 0.0880 0.7511 0.7545
Cl 0.2688 0.5714 0.2560
Cl 0.4207 0.1062 0.7390
Cl 0.5793 0.8938 0.2610
Cl 0.7312 0.4286 0.7440
Cl 0.9120 0.2489 0.2455



Top of the stability list: one, leading by 0.030 eV/atom.